This record from the Alexandria database describes an optimized crystal structure of CoS2O6. The functional is PBE+U.

```
9
Lattice="5.3796 0.0000 0.0000 -2.6898 4.6589 0.0000 0.0000 0.0000 6.0069" Properties=species:S:1:pos:R:3 pbc="T T T"
Co 0.0000 0.0000 0.0000
S 0.0000 3.1059 1.5844
S 2.6898 1.5530 4.4225
O 0.0000 1.6687 1.2189
O -1.2447 3.8245 1.2189
O 1.4451 0.8344 4.7880
O 1.2447 3.8245 1.2189
O 3.9345 0.8344 4.7880
O 2.6898 2.9902 4.7880
```

## Properties
- SG = P-3m1, No. 164
- total DFT energy (no corrections) (eV per atom) = -5.784